1.
Here is LiV3O5F after structural relaxation from Alexandria. Energies are from PBEsol.

a = 4.900 Å, b = 4.983 Å, c = 5.340 Å
α = 62.65°, β = 64.39°, γ = 61.06°
Space group P1 (No. 1)
Unique sites:
Li 0.000 0.000 0.000 [1 per cell]
V 0.237 0.225 0.374 [1 per cell]
V 0.573 0.489 0.448 [1 per cell]
V 0.767 0.694 0.833 [1 per cell]
O 0.150 0.451 0.625 [1 per cell]
O 0.486 0.804 0.605 [1 per cell]
O 0.608 0.347 0.140 [1 per cell]
O 0.843 0.097 0.632 [1 per cell]
O 0.950 0.590 0.145 [1 per cell]
F 0.340 0.944 0.130 [1 per cell]

total magnetic moment	5.01	μB/f.u.
raw formation energy	-2.399	eV per atom
calculated volume	97.58	Å³/cell

***

2.
Here is Li2VOF3 after structural relaxation from Alexandria. Energies are from PBEsol.

a = 10.193 Å, b = 5.710 Å, c = 5.861 Å
α = 90.00°, β = 123.98°, γ = 90.00°
Space group C2/m (No. 12)
Unique sites:
Li 0.000 0.000 0.000 [2 per cell]
Li 0.000 0.000 0.500 [2 per cell]
Li 0.123 0.500 0.401 [4 per cell]
V 0.250 0.250 0.000 [4 per cell]
O 0.243 0.000 0.206 [4 per cell]
F 0.014 0.239 0.758 [8 per cell]
F 0.245 0.000 0.747 [4 per cell]

offset from the most stable computed form	26.7	meV per atom
total magnetic moment	2.00	μB/f.u.
raw formation energy	-2.695	eV per atom
calculated volume	282.86	Å³/cell

***

3.
Here is Li2VOF5 after structural relaxation from Alexandria. Energies are from PBEsol.

a = 4.8593 Å, b = 4.8593 Å, c = 13.1202 Å
α = 90.00°, β = 90.00°, γ = 120.00°
Space group P3_1 (No. 144)
Unique sites:
Li 0.0000 0.0043 0.9997 [3 per cell]
Li 0.6504 0.3289 0.6667 [3 per cell]
V 0.3181 0.6458 0.8343 [3 per cell]
O 0.0464 0.3727 0.7650 [3 per cell]
F 0.0148 0.6722 0.2578 [3 per cell]
F 0.0162 0.3630 0.0954 [3 per cell]
F 0.0175 0.3421 0.4299 [3 per cell]
F 0.0206 0.6517 0.5917 [3 per cell]
F 0.0409 0.6773 0.9239 [3 per cell]

total magnetic moment	0.00	μB/f.u.
raw formation energy	-2.813	eV per atom
calculated volume	268.30	Å³/cell

***

4.
Here is LiVOF4 after structural relaxation from Alexandria. Energies are from PBEsol.

a = 3.553 Å, b = 9.792 Å, c = 9.472 Å
α = 90.00°, β = 90.00°, γ = 90.00°
Space group Cmc2_1 (No. 36)
Unique sites:
Li 0.000 0.001 0.000 [4 per cell]
V 0.000 0.291 0.749 [4 per cell]
O 0.000 0.203 0.249 [4 per cell]
F 0.000 0.160 0.615 [4 per cell]
F 0.000 0.160 0.884 [4 per cell]
F 0.000 0.423 0.611 [4 per cell]
F 0.000 0.423 0.887 [4 per cell]

total magnetic moment	0.01	μB/f.u.
raw formation energy	-2.726	eV per atom
calculated volume	329.49	Å³/cell